[1]
Er6PC3 | PBE | relaxed

E_form in eV per atom: -0.54
Crystal system: monoclinic

```
Er6PC3
1.0
3.630 0.000 0.000
0.000 11.701 -3.608
0.000 -1.380 10.135
Er P C
12 2 6
Cartesian
2.722 3.931 4.505
0.907 6.390 2.022
2.722 10.733 -2.609
0.907 -0.411 9.135
2.722 4.880 -0.738
0.907 5.441 7.265
2.722 8.191 -0.119
0.907 2.131 6.646
2.722 0.604 4.078
0.907 9.718 2.449
2.722 7.824 4.739
0.907 2.497 1.788
2.722 -0.007 6.886
0.907 10.329 -0.360
2.722 3.857 6.942
0.907 6.464 -0.416
2.722 8.008 2.314
0.907 2.314 4.212
2.722 1.364 0.717
0.907 8.957 5.810
```



[2]
Sr8Ag2Au | PBE | relaxed

E_form in eV per atom: -0.24
Crystal system: monoclinic

```
Sr8Ag2Au
1.0
-2.763 4.521 5.308
-8.141 1.187 -2.241
-4.887 -5.084 4.793
Sr Ag Au
8 2 1
Cartesian
-6.197 1.574 0.128
-11.501 2.725 3.609
-2.445 0.675 1.733
-13.346 -0.051 6.127
-4.290 -2.102 4.251
-9.594 -0.950 7.732
-7.632 1.902 5.226
-8.159 -1.279 2.634
-5.377 0.769 3.172
-10.414 -0.145 4.687
0.000 0.000 0.000
```



[3]
NaPrZr4O12 | PBE | relaxed

Energy relative to the elements, uncorrected in eV per atom: -2.569
Crystal system: orthorhombic

```
NaPrZr4O12
1.0
4.077 -4.092 0.000
4.077 4.092 0.000
0.000 0.000 8.357
Na Pr Zr O
1 1 4 12
Cartesian
4.182 0.000 0.000
8.017 0.000 4.178
2.029 1.977 6.381
2.029 1.977 1.976
2.029 -1.977 1.976
2.029 -1.977 6.381
4.072 2.377 5.983
4.072 -2.377 5.983
4.072 -2.377 2.374
4.072 2.377 2.374
6.113 0.000 5.791
2.461 0.000 6.683
2.461 0.000 1.674
6.113 0.000 2.566
5.873 -1.664 0.000
1.900 1.568 4.178
5.873 1.664 0.000
1.900 -1.568 4.178
```



[4]
NaAcPb6 | PBE | relaxed

E_form in eV per atom: -0.25
Crystal system: tetragonal

```
NaAcPb6
1.0
-0.843 -0.830 4.841
2.711 -4.175 -0.244
8.257 5.226 2.333
Na Ac Pb
1 1 6
Cartesian
4.128 2.613 1.167
0.000 0.000 0.000
0.934 -2.502 2.299
5.063 0.111 3.465
1.745 0.956 3.033
5.669 3.440 4.142
3.522 -0.716 0.490
7.446 1.767 1.599
```



[5]
PuTa2MnC4 | PBE | relaxed

E_form in eV per atom: -0.32
Crystal system: orthorhombic

```
PuTa2MnC4
1.0
-1.411 2.833 -0.484
-3.795 -3.981 -1.652
-4.060 -0.304 10.058
Pu Ta Mn C
2 4 2 8
Cartesian
-3.950 -0.743 7.163
-5.316 -0.708 0.759
-5.535 -2.060 4.074
-2.060 0.734 -0.291
-3.730 0.609 3.848
-7.206 -2.185 8.213
-6.783 -0.539 6.025
-2.483 -0.912 1.897
-2.871 -1.398 0.183
-5.325 0.027 5.088
-6.395 -0.053 7.739
-3.941 -1.478 2.834
-2.030 -0.152 5.029
0.000 0.000 0.000
-6.902 -2.425 5.920
-2.364 0.974 2.002
```



[6]
MgBe3Fe | PBE | relaxed

Polymorph energy (0 for the lowest one) in meV/atom: 0
E_form in eV per atom: 0.50
Crystal system: cubic

```
MgBe3Fe
1.0
4.008 0.000 0.000
0.000 4.008 0.000
0.000 0.000 4.008
Be Mg Fe
3 1 1
Cartesian
0.000 2.004 0.000
0.000 0.000 2.004
2.004 0.000 0.000
2.004 2.004 2.004
0.000 0.000 0.000
```



[7]
LaIn2Rh | PBE | relaxed

E_form in eV per atom: -0.25
Crystal system: tetragonal

```
LaIn2Rh
1.0
4.200 0.000 0.000
0.000 4.200 0.000
2.100 2.100 11.411
In Rh La
4 2 2
Cartesian
3.069 1.050 2.853
1.132 3.150 2.853
3.150 3.232 8.559
5.251 5.169 8.559
2.100 2.100 0.000
2.100 4.200 5.706
0.000 0.000 0.000
4.200 2.100 5.706
```



[8]
Sm3Y2PuN6 | PBE | relaxed

Energy relative to the elements, uncorrected in eV per atom: -1.512
Crystal system: monoclinic

```
Sm3Y2PuN6
1.0
6.096 0.002 -0.001
-3.045 5.281 -0.001
-1.018 -1.763 5.767
Sm Y Pu N
3 2 1 6
Cartesian
-2.027 3.517 2.883
4.059 0.002 2.883
1.016 1.760 2.883
0.005 3.519 -0.001
3.046 1.763 -0.001
0.000 0.000 0.000
3.017 1.814 4.398
2.062 3.571 1.370
-0.985 1.705 1.368
0.064 3.520 4.398
-0.030 -0.051 4.397
1.969 -0.001 1.368
```



[9]
Ho5Sn2Ir2Ru | PBE | relaxed

E_form in eV per atom: -0.60
Crystal system: tetragonal

```
Ho5Sn2Ir2Ru
1.0
3.526 0.000 0.000
0.000 11.578 0.000
0.000 0.000 11.578
Ho Sn Ir Ru
10 4 4 2
Cartesian
1.763 2.255 0.740
1.763 9.323 10.838
1.763 0.740 9.323
1.763 8.044 5.049
1.763 10.838 2.255
1.763 3.534 6.529
1.763 6.529 8.044
1.763 5.049 3.534
1.763 5.789 0.000
1.763 0.000 5.789
0.000 7.862 2.073
0.000 3.716 9.505
0.000 2.073 3.716
0.000 9.505 7.862
0.000 1.591 7.380
0.000 9.987 4.198
0.000 7.380 9.987
0.000 4.198 1.591
0.000 0.000 0.000
0.000 5.789 5.789
```



[10]
Rb3CeDy2Te6 | PBE | relaxed

Energy relative to the elements, uncorrected in eV per atom: -1.364
Crystal system: monoclinic

```
Rb3CeDy2Te6
1.0
-7.752 1.427 0.973
3.978 -4.202 5.440
3.114 8.134 2.072
Rb Ce Dy Te
3 1 2 6
Cartesian
3.602 0.793 5.740
-4.262 4.566 2.745
-0.330 2.679 4.243
0.000 0.000 0.000
0.071 -2.327 3.952
-3.845 -0.448 2.461
-2.393 5.348 5.779
-2.111 -0.382 5.063
1.733 0.011 2.707
1.619 3.423 7.306
1.452 5.741 3.423
-2.279 1.936 1.179
```



[11]
DyHo4Ga4 | PBE | relaxed

E_form in eV per atom: -0.36
Crystal system: tetragonal

```
DyHo4Ga4
1.0
5.934 0.000 0.000
0.000 9.006 0.000
0.000 0.000 9.006
Dy Ho Ga
2 8 8
Cartesian
0.000 0.000 0.000
2.967 4.503 4.503
2.251 2.859 8.182
5.218 5.326 7.362
2.251 6.147 0.823
0.716 1.644 5.326
3.683 8.182 6.147
0.716 7.362 3.679
5.218 3.679 1.644
3.683 0.823 2.859
3.750 6.962 3.321
3.750 2.043 5.685
0.783 7.824 6.546
5.151 2.460 7.824
5.151 6.546 1.182
2.184 3.321 2.043
2.184 5.685 6.962
0.783 1.182 2.460
```



[12]
LaPm3SmTh | PBE | relaxed

E_form in eV per atom: 0.03
Crystal system: monoclinic

```
LaPm3SmTh
1.0
5.151 0.000 0.000
0.000 8.082 -1.229
0.000 -3.328 10.434
La Pm Sm Th
2 6 2 2
Cartesian
1.288 0.001 2.890
3.863 4.753 6.315
3.863 6.832 -0.617
1.288 -2.079 9.822
1.288 3.547 3.967
3.863 1.207 5.238
3.863 2.423 1.654
1.288 2.331 7.551
1.288 -1.043 6.414
3.863 5.797 2.791
1.288 4.613 0.499
3.863 0.140 8.706
```